Crystalline Tb5Sm6In at its relaxed geometry, computed with PBE-GGA.

a b c (Å): 5.004 10.035 15.208
angles (deg): 90.00 90.00 90.00
Space group Immm (No. 71)
One atom of each set of equivalent atoms:
Tb 0.000 0.000 0.000 (multiplicity 2)
Tb 0.000 0.000 0.333 (multiplicity 4)
Tb 0.000 0.500 0.336 (multiplicity 4)
Sm 0.000 0.244 0.500 (multiplicity 4)
Sm 0.000 0.254 0.165 (multiplicity 8)
In 0.000 0.500 0.000 (multiplicity 2)

Summary:
* final energy: -4.576 eV/atom
* size of the total moment: 0.0 μB per cell